Computed, not measured: a geometry-optimized Zn4FeIr structure at the GGA-PBE level of DFT.

Unit cell a=4.885 b=4.885 c=4.885 alpha=60.00 beta=60.00 gamma=60.00
Positions (direct):
Fe 0.750 0.750 0.750
Ir 0.000 0.000 0.000
Zn 0.875 0.375 0.375
Zn 0.375 0.375 0.875
Zn 0.375 0.375 0.375
Zn 0.375 0.875 0.375

Summary:
**Formation energy from the elements**: 0.4 eV per formula unit
**Final energy**: -22.0 eV/f.u.
**Spin magnetization**: 3.283 μB/cell